Material: BeCo2SBr
Method: DFT, meta-GGA SCAN
State: PBEsol geometry

extended XYZ file:
```
5
Lattice="4.278 0.000 0.000 0.000 4.278 0.000 0.000 0.000 4.005" Properties=species:S:1:pos:R:3 pbc="T T T"
Be 0.000 0.000 0.000
Co 0.000 2.139 0.000
Co 2.139 0.000 0.000
S 2.139 2.139 2.002
Br 0.000 0.000 2.002
```

---

Material: ScBe2CoBr
Method: DFT, meta-GGA SCAN
State: PBEsol geometry

extended XYZ file:
```
5
Lattice="4.159 0.000 0.000 0.000 4.159 0.000 0.000 0.000 4.641" Properties=species:S:1:pos:R:3 pbc="T T T"
Sc 0.000 0.000 0.000
Be 0.000 2.080 2.321
Be 2.080 0.000 2.321
Co 0.000 0.000 2.321
Br 2.080 2.080 0.000
```

---

Material: BeCoSe2Br
Method: DFT, meta-GGA SCAN
State: PBEsol geometry

extended XYZ file:
```
5
Lattice="4.549 0.000 0.000 0.000 4.549 0.000 0.000 0.000 4.885" Properties=species:S:1:pos:R:3 pbc="T T T"
Be 0.000 0.000 0.000
Co 2.274 2.274 2.443
Se 0.000 2.274 2.443
Se 2.274 0.000 2.443
Br 2.274 2.274 0.000
```

---

4
Lattice="4.070 0.000 0.000 0.000 4.070 0.000 0.000 0.000 3.076" Properties=species:S:1:pos:R:3 comment="Be2CrBr | Alexandria via LeMat-Bulk | meta-GGA SCAN | PBEsol geometry" de_polymorph_mev_per_atom=614 pbc="T T T"
Be 0.000 2.035 0.000
Be 2.035 0.000 0.000
Cr 0.000 0.000 1.538
Br 2.035 2.035 1.538

---

| no. | DFT total energy (eV/cell) | formation energy from raw total energies (meV per atom) |
| --- | --- | --- |
| 1 | -62.732 | 1063 |
| 2 | -58.749 | 192 |
| 3 | -77.983 | 658 |
| 4 | -43.556 | 749 |